1.
Nb2V3B2 | PBE-GGA | optimized geometry

The structure belongs to space group C2/m (No. 12); the cell edges are 9.006, 3.199 and 6.078 Å and the angles 90.00°, 96.74° and 90.00°. The inequivalent atoms are Nb at (0.136, 0.000, 0.358), V at (0.000, 0.500, 0.000), V at (0.176, 0.000, 0.854) and B at (0.067, 0.500, 0.628).

As for the total magnetization: 0.00 μB per cell.



2.
NbV2B | PBE-GGA | optimized geometry

The structure belongs to space group Cmcm (No. 63); the cell edges are 3.195, 8.960 and 7.070 Å and the angles 90.00°, 90.00° and 90.00°. The inequivalent atoms are Nb at (0.000, 0.048, 0.250), V at (0.000, 0.348, 0.055) and B at (0.000, 0.239, 0.750).

As for the total magnetization: 0.00 μB per cell.



3.
NbV5B2 | PBE-GGA | optimized geometry

The structure belongs to space group Immm (No. 71); the cell edges are 3.179, 7.121 and 8.557 Å and the angles 90.00°, 90.00° and 90.00°. The inequivalent atoms are Nb at (0.000, 0.000, 0.000), V at (0.000, 0.188, 0.339), V at (0.000, 0.500, 0.000) and B at (0.000, 0.500, 0.277).

As for the total magnetization: 0.00 μB per cell.



4.
NbV2B | PBE-GGA | optimized geometry

The structure belongs to space group I-42d (No. 122); the cell edges are 6.870, 6.870 and 4.591 Å and the angles 90.00°, 90.00° and 90.00°. The inequivalent atoms are Nb at (0.000, 0.000, 0.000), V at (0.172, 0.750, 0.625) and B at (0.000, 0.000, 0.500).

As for the total magnetization: 0.03 μB per cell.



5.
Nb2VB2 | PBE-GGA | optimized geometry

The structure belongs to space group P4/mbm (No. 127); the cell edges are 6.039, 6.039 and 3.264 Å and the angles 90.00°, 90.00° and 90.00°. The inequivalent atoms are Nb at (0.181, 0.319, 0.000), V at (0.000, 0.000, 0.500) and B at (0.108, 0.608, 0.500).

As for the total magnetization: 0.00 μB per cell.



6.
Nb3VB4 | PBE-GGA | optimized geometry

The structure belongs to space group Immm (No. 71); the cell edges are 3.277, 4.729 and 12.254 Å and the angles 90.00°, 90.00° and 90.00°. The inequivalent atoms are Nb at (0.000, 0.000, 0.000), Nb at (0.000, 0.500, 0.194), V at (0.000, 0.000, 0.500) and B at (0.000, 0.317, 0.371).

As for the total magnetization: 0.00 μB per cell.



7.
Nb2VB | PBE-GGA | optimized geometry

The structure belongs to space group R-3m (No. 166, hexagonal axes); the cell edges are 3.0849, 3.0849 and 23.0065 Å and the angles 90.00°, 90.00° and 120.00°. The inequivalent atoms are Nb at (0.0000, 0.0000, 0.1083), V at (0.0000, 0.0000, 0.0000) and B at (0.0000, 0.0000, 0.5000).

As for the total magnetization: 0.00 μB per cell.



8.
Nb2VB | PBE-GGA | optimized geometry

The structure belongs to space group I-42d (No. 122); the cell edges are 7.747, 7.747 and 4.218 Å and the angles 90.00°, 90.00° and 90.00°. The inequivalent atoms are Nb at (0.129, 0.750, 0.125), V at (0.000, 0.000, 0.500) and B at (0.000, 0.000, 0.000).

As for the total magnetization: 0.00 μB per cell.



| no. | ρ (Mg/m³) | ΔE_f (eV per atom) |
| --- | --- | --- |
| 1 | 6.88 | -0.451 |
| 2 | 6.75 | -0.403 |
| 3 | 6.33 | -0.290 |
| 4 | 6.30 | 0.186 |
| 5 | 7.21 | -0.702 |
| 6 | 6.52 | -0.464 |
| 7 | 6.50 | 0.243 |
| 8 | 6.50 | 0.274 |